# 1
! KZn2PtPb PBE optimized geometry; values from VASP
&SYSTEM
  ibrav = 0, nat = 5, ntyp = 4
/
ATOMIC_SPECIES
K 39.10 K.upf
Zn 65.41 Zn.upf
Pt 195.08 Pt.upf
Pb 207.20 Pb.upf
CELL_PARAMETERS angstrom
5.021 0.000 0.000
0.000 5.021 0.000
0.000 0.000 5.402
ATOMIC_POSITIONS crystal
K 0.000 0.000 0.000
Zn 0.000 0.500 0.500
Zn 0.500 0.000 0.500
Pt 0.500 0.500 0.500
Pb 0.500 0.500 0.000
! DOS(E_F) (states/eV per atom): 0.380
! SG: P4/mmm, No. 123
! ρ (g/cm³): 7.0
! E_tot (eV/atom): -2.822
! Size of the total moment (μB per cell): 0.00

***

# 2
! KScIr2 PBE optimized geometry; values from VASP
&SYSTEM
  ibrav = 0, nat = 4, ntyp = 3
/
ATOMIC_SPECIES
K 39.10 K.upf
Sc 44.96 Sc.upf
Ir 192.22 Ir.upf
CELL_PARAMETERS angstrom
-2.159 2.159 3.988
2.159 -2.159 3.988
2.159 2.159 -3.988
ATOMIC_POSITIONS crystal
K 0.000 0.000 0.000
Sc 0.500 0.500 0.000
Ir 0.250 0.750 0.500
Ir 0.750 0.250 0.500
! DOS(E_F) (states/eV per atom): 0.508
! SG: I4/mmm, No. 139
! ρ (g/cm³): 10.5
! Polymorph energy (0 for the lowest one) (meV per atom): 456.6
! Size of the total moment (μB per cell): 0.00

***

Look up the DOS(E_F) of the second one. 0.508 states/eV per atom